First-principles (PBE) data for a geometry-optimized Li2AcMg8In structure, as listed in Alexandria.

* D(E_F): 0.495 states/eV per atom
* energy of formation: 44.8 meV per atom

a = 5.3345 Å, b = 5.3345 Å, c = 11.9406 Å
α = 95.09°, β = 95.09°, γ = 68.83°
Closest atoms and distances in Å follow each position.
Fractional positions:
Li 0.1745 0.1745 0.3337  6 Mg 2.96-3.21, 1 Ac 3.31
Li 0.8255 0.8255 0.6663  6 Mg 2.96-3.21, 1 Ac 3.31
Ac 0.5000 0.5000 0.5000  2 Li 3.31, 6 Mg 3.34-3.45
Mg 0.1558 0.1558 0.5939  3 Mg 3.01-3.35, 2 Li 3.12-3.13, 1 Ac 3.34
Mg 0.1649 0.1649 0.0440  3 Mg 2.98-3.19, 1 In 3.05
Mg 0.1798 0.6734 0.2037  2 Li 2.96-3.21, 4 Mg 2.98-3.19, 1 In 2.98
Mg 0.3266 0.8202 0.7963  2 Li 2.96-3.21, 4 Mg 2.98-3.19, 1 In 2.98
Mg 0.6734 0.1798 0.2037  2 Li 2.96-3.21, 4 Mg 2.98-3.19, 1 In 2.98
Mg 0.8202 0.3266 0.7963  2 Li 2.96-3.21, 4 Mg 2.98-3.19, 1 In 2.98
Mg 0.8351 0.8351 0.9560  3 Mg 2.98-3.19, 1 In 3.05
Mg 0.8442 0.8442 0.4061  3 Mg 3.01-3.35, 2 Li 3.12-3.13, 1 Ac 3.34
In 0.5000 0.5000 0.0000  6 Mg 2.98-3.05